A plane-wave DFT calculation with GGA-PBE was carried out for crystalline CoTe2IrN at its relaxed geometry.

Cell lengths 5.129, 5.129, 3.320 Å; angles 90.00, 90.00, 90.00 degrees
Fractional positions:
Co1 0.000 0.000 0.000
Ir1 0.500 0.500 0.500
Te1 0.000 0.500 0.000
Te2 0.500 0.000 0.000
N1 0.000 0.000 0.500

Output
- ΔE to the lowest computed polymorph (meV/atom) = 0
- volume (Å³/atom) = 17.5
- formation energy from raw total energies (eV per atom) = 0.51
- density of states at the Fermi level (states/eV/atom) = 0.584

***

A plane-wave DFT calculation with GGA-PBE was carried out for crystalline CoRuRhBr2 at its relaxed geometry.

Cell lengths 4.975, 4.752, 4.975 Å; angles 90.00, 90.00, 90.00 degrees
Fractional positions:
Ru1 0.000 0.500 0.000
Rh1 0.000 0.000 0.000
Br1 0.000 0.000 0.500
Br2 0.500 0.000 0.000
Co1 0.500 0.500 0.500

Output
- volume (Å³/atom) = 23.5
- formation energy from raw total energies (eV per atom) = 1.35
- density of states at the Fermi level (states/eV/atom) = 1.726

***

A plane-wave DFT calculation with GGA-PBE was carried out for crystalline PrDyGaSn at its relaxed geometry.

Cell lengths 4.560, 4.223, 6.147 Å; angles 90.00, 111.77, 90.00 degrees
Fractional positions:
Pr1 0.137 0.000 0.275
Dy1 0.859 0.500 0.718
Ga1 0.583 0.500 0.167
Sn1 0.420 0.000 0.841

Output
- ΔE to the lowest computed polymorph (meV/atom) = 0
- volume (Å³/atom) = 27.5
- density of states at the Fermi level (states/eV/atom) = 0.911

***

A plane-wave DFT calculation with GGA-PBE was carried out for crystalline MgSc2P2 at its relaxed geometry.

Cell lengths 6.019, 6.019, 6.019 Å; angles 136.56, 136.56, 63.12 degrees
Fractional positions:
Mg1 0.000 0.000 0.000
Sc1 0.250 0.750 0.500
Sc2 0.750 0.250 0.500
P1 0.614 0.614 0.000
P2 0.386 0.386 0.000

Output
- ΔE to the lowest computed polymorph (meV/atom) = 375
- volume (Å³/atom) = 20.4
- density of states at the Fermi level (states/eV/atom) = 0.697

***

A plane-wave DFT calculation with GGA-PBE was carried out for crystalline HoBeRh3 at its relaxed geometry.

Cell lengths 4.246, 4.246, 4.246 Å; angles 90.00, 90.00, 90.00 degrees
Fractional positions:
Be1 0.000 0.000 0.000
Rh1 0.000 0.500 0.000
Rh2 0.000 0.000 0.500
Rh3 0.500 0.000 0.000
Ho1 0.500 0.500 0.500

Output
- volume (Å³/atom) = 15.3
- density of states at the Fermi level (states/eV/atom) = 0.615

***

A plane-wave DFT calculation with GGA-PBE was carried out for crystalline AcGaSeO6 at its relaxed geometry.

Cell lengths 5.377, 5.101, 5.101 Å; angles 120.00, 90.00, 90.00 degrees
Fractional positions:
Ac1 0.000 0.333 0.667
Ga1 0.500 0.667 0.333
Se1 0.500 0.000 0.000
O1 0.699 0.726 0.691
O2 0.699 0.309 0.036
O3 0.699 0.964 0.274
O4 0.301 0.309 0.274
O5 0.301 0.726 0.036
O6 0.301 0.964 0.691

Output
- volume (Å³/atom) = 13.5
- formation energy from raw total energies (eV per atom) = -1.81
- density of states at the Fermi level (states/eV/atom) = 0.000

***

A plane-wave DFT calculation with GGA-PBE was carried out for crystalline FeAgW3 at its relaxed geometry.

Cell lengths 4.475, 4.475, 4.475 Å; angles 90.00, 90.00, 90.00 degrees
Fractional positions:
Ag1 0.500 0.500 0.500
W1 0.000 0.500 0.000
W2 0.000 0.000 0.500
W3 0.500 0.000 0.000
Fe1 0.000 0.000 0.000

Output
- ΔE to the lowest computed polymorph (meV/atom) = 0
- volume (Å³/atom) = 17.9
- density of states at the Fermi level (states/eV/atom) = 1.142

***

A plane-wave DFT calculation with GGA-PBE was carried out for crystalline YZn6Cu12 at its relaxed geometry.

Cell lengths 6.762, 6.762, 6.762 Å; angles 103.27, 103.27, 103.27 degrees
Fractional positions:
Y1 0.000 0.000 0.000
Zn1 0.698 0.287 0.287
Zn2 0.287 0.287 0.698
Zn3 0.287 0.698 0.287
Zn4 0.713 0.713 0.302
Zn5 0.302 0.713 0.713
Zn6 0.713 0.302 0.713
Cu1 0.890 0.110 0.500
Cu2 0.884 0.629 0.629
Cu3 0.629 0.629 0.884
Cu4 0.371 0.116 0.371
Cu5 0.371 0.371 0.116
Cu6 0.116 0.371 0.371
Cu7 0.110 0.500 0.890
Cu8 0.500 0.890 0.110
Cu9 0.110 0.890 0.500
Cu10 0.890 0.500 0.110
Cu11 0.500 0.110 0.890
Cu12 0.629 0.884 0.629

Output
- volume (Å³/atom) = 14.7
- density of states at the Fermi level (states/eV/atom) = 0.334

***

no.,calculated total energy (eV/atom)
1,-5.609
2,-4.069
3,-4.798
4,-5.738
5,-6.663
6,-6.300
7,-8.631
8,-3.293